# 1
Entry from Alexandria via LeMat-Bulk: TcPtSe2 at its PBEsol-relaxed geometry (SCAN).

Results
D(E_F): 3.4 states/eV/cell
electronic total energy: -35.92 eV/atom
polymorph energy (0 for the lowest one): 399 meV/atom
magnetic moment: 0.000 μB/cell
formation energy (no corrections): 0.4335 eV/atom

Cell: 4.5976 4.5976 4.5976 Å, 125.29 125.29 81.05°
Sites, in units of the cell vectors:
Tc 0.0000 0.0000 0.0000
Pt 0.5000 0.5000 0.0000
Se 0.2500 0.7500 0.5000
Se 0.7500 0.2500 0.5000



# 2
Entry from Alexandria via LeMat-Bulk: TcPt2Se at its PBEsol-relaxed geometry (SCAN).

Results
D(E_F): 2.3 states/eV/cell
electronic total energy: -48.71 eV/atom
magnetic moment: 0.000 μB/cell
formation energy (no corrections): 0.1668 eV/atom

Cell: 4.7445 4.7445 4.9626 Å, 101.67 101.67 35.11°
Sites, in units of the cell vectors:
Tc 0.0000 0.0000 0.0000
Pt 0.2516 0.2516 0.7868
Pt 0.4907 0.4907 0.5341
Se 0.6977 0.6977 0.2658



# 3
Entry from Alexandria via LeMat-Bulk: TcPt2Se at its PBEsol-relaxed geometry (SCAN).

Results
D(E_F): 3.8 states/eV/cell
electronic total energy: -48.61 eV/atom
magnetic moment: 0.000 μB/cell
formation energy (no corrections): 0.2731 eV/atom

Cell: 2.7752 3.9486 5.5799 Å, 90.00 90.00 90.00°
Sites, in units of the cell vectors:
Tc 0.0000 0.0000 0.0000
Pt 0.5000 0.5000 0.2370
Pt 0.5000 0.5000 0.7630
Se 0.0000 0.0000 0.5000



# 4
Entry from Alexandria via LeMat-Bulk: TcPtSe3 at its PBEsol-relaxed geometry (SCAN).

Results
D(E_F): 3.8 states/eV/cell
electronic total energy: -32.23 eV/atom
magnetic moment: 3.809 μB/cell
formation energy (no corrections): 0.8642 eV/atom

Cell: 4.8709 4.8709 4.8709 Å, 90.00 90.00 90.00°
Sites, in units of the cell vectors:
Tc 0.0000 0.0000 0.0000
Pt 0.5000 0.5000 0.5000
Se 0.0000 0.5000 0.5000
Se 0.5000 0.0000 0.5000
Se 0.5000 0.5000 0.0000



# 5
Entry from Alexandria via LeMat-Bulk: TcPtSe2 at its PBEsol-relaxed geometry (SCAN).

Results
D(E_F): 3.9 states/eV/cell
electronic total energy: -36.32 eV/atom
polymorph energy (0 for the lowest one): 0 meV/atom
magnetic moment: 0.005 μB/cell
formation energy (no corrections): 0.0344 eV/atom

Cell: 5.1319 5.1319 5.5303 Å, 97.53 97.53 33.94°
Sites, in units of the cell vectors:
Tc 0.0000 0.0000 0.0000
Pt 0.2803 0.2803 0.0212
Se 0.4324 0.4324 0.6655
Se 0.6512 0.6512 0.2885



# 6
Entry from Alexandria via LeMat-Bulk: Te2PtSe at its PBEsol-relaxed geometry (SCAN).

Results
D(E_F): 1.9 states/eV/cell
electronic total energy: -41.20 eV/atom
magnetic moment: 0.000 μB/cell
formation energy (no corrections): -0.0023 eV/atom

Cell: 3.7705 3.7705 7.4153 Å, 90.00 90.00 90.00°
Sites, in units of the cell vectors:
Te 0.0000 0.0000 0.0000
Te 0.5000 0.5000 0.4349
Pt 0.0000 0.0000 0.3466
Se 0.5000 0.5000 0.8871



# 7
Entry from Alexandria via LeMat-Bulk: Te2PtSe at its PBEsol-relaxed geometry (SCAN).

Results
D(E_F): 2.4 states/eV/cell
electronic total energy: -41.38 eV/atom
magnetic moment: 0.000 μB/cell
formation energy (no corrections): -0.1873 eV/atom

Cell: 7.6282 7.6282 7.6282 Å, 29.26 29.26 29.26°
Sites, in units of the cell vectors:
Te 0.0000 0.0000 0.0000
Te 0.2306 0.2306 0.2306
Pt 0.7343 0.7343 0.7343
Se 0.4595 0.4595 0.4595



# 8
Entry from Alexandria via LeMat-Bulk: Te2PtSe at its PBEsol-relaxed geometry (SCAN).

Results
D(E_F): 1.8 states/eV/cell
electronic total energy: -41.41 eV/atom
magnetic moment: 0.000 μB/cell
formation energy (no corrections): -0.2206 eV/atom

Cell: 8.3182 8.3182 8.3182 Å, 28.12 28.12 28.12°
Sites, in units of the cell vectors:
Te 0.1102 0.1102 0.1102
Te 0.8898 0.8898 0.8898
Pt 0.5000 0.5000 0.5000
Se 0.0000 0.0000 0.0000



# 9
Entry from Alexandria via LeMat-Bulk: Te2PtSe at its PBEsol-relaxed geometry (SCAN).

Results
D(E_F): 2.5 states/eV/cell
electronic total energy: -40.92 eV/atom
magnetic moment: 0.000 μB/cell
formation energy (no corrections): 0.2722 eV/atom

Cell: 11.7642 11.7642 11.7642 Å, 14.84 14.84 14.84°
Sites, in units of the cell vectors:
Te 0.0738 0.0738 0.0738
Te 0.9262 0.9262 0.9262
Pt 0.0000 0.0000 0.0000
Se 0.5000 0.5000 0.5000



# 10
Entry from Alexandria via LeMat-Bulk: Ti3PtSe at its PBEsol-relaxed geometry (SCAN).

Results
D(E_F): 3.7 states/eV/cell
electronic total energy: -27.76 eV/atom
magnetic moment: 0.001 μB/cell
formation energy (no corrections): -0.0834 eV/atom

Cell: 4.5195 4.5195 4.5195 Å, 90.00 90.00 90.00°
Sites, in units of the cell vectors:
Ti 0.0000 0.0000 0.5000
Ti 0.0000 0.5000 0.0000
Ti 0.5000 0.0000 0.0000
Pt 0.5000 0.5000 0.5000
Se 0.0000 0.0000 0.0000



# 11
Entry from Alexandria via LeMat-Bulk: TiPt3Se at its PBEsol-relaxed geometry (SCAN).

Results
D(E_F): 3.4 states/eV/cell
electronic total energy: -48.92 eV/atom
magnetic moment: 1.768 μB/cell
formation energy (no corrections): 0.4128 eV/atom

Cell: 4.6075 4.6075 4.6075 Å, 90.00 90.00 90.00°
Sites, in units of the cell vectors:
Ti 0.0000 0.0000 0.0000
Pt 0.0000 0.5000 0.5000
Pt 0.5000 0.0000 0.5000
Pt 0.5000 0.5000 0.0000
Se 0.5000 0.5000 0.5000



# 12
Entry from Alexandria via LeMat-Bulk: TlPtSe2 at its PBEsol-relaxed geometry (SCAN).

Results
D(E_F): 3.9 states/eV/cell
electronic total energy: -45.40 eV/atom
polymorph energy (0 for the lowest one): 550 meV/atom
magnetic moment: 0.001 μB/cell
formation energy (no corrections): 0.2771 eV/atom

Cell: 8.1576 8.1576 8.1576 Å, 28.50 28.50 28.50°
Sites, in units of the cell vectors:
Tl 0.0000 0.0000 0.0000
Pt 0.5000 0.5000 0.5000
Se 0.4024 0.4024 0.4024
Se 0.5976 0.5976 0.5976